one | Compound: PuVNi2
Source: Alexandria via LeMat-Bulk
Functional: PBE
Structure: optimized geometry

Properties
**Total magnetization**: 1.491 μB/atom

Cell lengths 2.9746, 2.9746, 6.8941 Å; angles 90.00, 90.00, 90.00 degrees
With the nearest neighbours (Å) after each atom.
Element x y z (fractional)
Pu 0.0000 0.0000 0.0000  4 Pu 2.97, 8 Ni 3.02
V 0.0000 0.0000 0.5000  8 Ni 2.46
Ni 0.5000 0.5000 0.3151  4 V 2.46, 1 Ni 2.55
Ni 0.5000 0.5000 0.6849  4 V 2.46, 1 Ni 2.55

***

two | Compound: PuVNi2
Source: Alexandria via LeMat-Bulk
Functional: PBE
Structure: optimized geometry

Properties
**Total magnetization**: 1.816 μB/atom

Cell lengths 4.4681, 4.4681, 4.4681 Å; angles 60.00, 60.00, 60.00 degrees
With the nearest neighbours (Å) after each atom.
Element x y z (fractional)
Pu 0.0000 0.0000 0.0000  8 Ni 2.74
V 0.5000 0.5000 0.5000  8 Ni 2.74
Ni 0.2500 0.2500 0.2500  4 Pu 2.74, 4 V 2.74
Ni 0.7500 0.7500 0.7500  4 Pu 2.74, 4 V 2.74

***

Compare the structures above. Which one is the most stable? one is.